Crystalline ZnPt2Cl at its relaxed geometry, computed with GGA-PBEsol.

Cell: 2.8752 2.8752 7.5264 Å, 90.00 90.00 90.00°
Space group P4mm (No. 99)
Inequivalent atoms, fractional coordinates:
Zn1 0.0000 0.0000 0.0000
Pt1 0.0000 0.0000 0.5277
Pt2 0.5000 0.5000 0.7793
Cl1 0.5000 0.5000 0.2329

Properties
The uncorrected formation energy is 4.1 kJ per mole of atoms. For the relative energy among the computed polymorphs, the calculation gives 32 meV/atom.